(1)
A plane-wave DFT calculation with PBE-GGA was carried out for DyHo2P3 after structural relaxation.

The structure belongs to space group Immm (No. 71); the cell edges are 3.9968, 5.6457 and 11.9788 Å and the angles 90.00°, 90.00° and 90.00°. The distinct sites, in fractional coordinates, are Dy at (0.0000, 0.0000, 0.0000), Ho at (0.0000, 0.0000, 0.3334), P at (0.0000, 0.5000, 0.0000) and P at (0.0000, 0.5000, 0.3327).

For the formation energy, the calculation gives -1615 meV per atom. The value obtained for the total energy is -6.613 eV/atom. Its volume is 270.3 Å³ per cell.

(2)
A plane-wave DFT calculation with PBE-GGA was carried out for Dy5HoP6 after structural relaxation.

The structure belongs to space group C2/m (No. 12); the cell edges are 6.9364, 12.0119 and 6.9344 Å and the angles 90.00°, 109.47° and 90.00°. The distinct sites, in fractional coordinates, are Dy at (0.0000, 0.0000, 0.0000), Dy at (0.0000, 0.1667, 0.5000), Dy at (0.0000, 0.3332, 0.0000), Ho at (0.0000, 0.5000, 0.5000), P at (0.2505, 0.0000, 0.7496) and P at (0.2504, 0.1663, 0.2504).

For the formation energy, the calculation gives -1616 meV per atom. The value obtained for the total energy is -6.620 eV/atom. Its volume is 544.7 Å³ per cell.

Please write out number 1 again, unchanged.
A plane-wave DFT calculation with PBE-GGA was carried out for DyHo2P3 after structural relaxation.

The structure belongs to space group Immm (No. 71); the cell edges are 3.9968, 5.6457 and 11.9788 Å and the angles 90.00°, 90.00° and 90.00°. The distinct sites, in fractional coordinates, are Dy at (0.0000, 0.0000, 0.0000), Ho at (0.0000, 0.0000, 0.3334), P at (0.0000, 0.5000, 0.0000) and P at (0.0000, 0.5000, 0.3327).

For the formation energy, the calculation gives -1615 meV per atom. The value obtained for the total energy is -6.613 eV/atom. Its volume is 270.3 Å³ per cell.